[1]
Here is a geometry-optimized Zr3GeIr structure from Alexandria. Energies are from PBE-GGA.

Geometry as POSCAR:
```
Zr3GeIr
1.0
5.0466 0.0000 0.0000
0.0000 5.0466 0.0000
0.0000 0.0000 5.0466
Zr Ge Ir
3 1 1
direct
0.0000 0.0000 0.5000 Zr
0.0000 0.5000 0.0000 Zr
0.5000 0.0000 0.0000 Zr
0.5000 0.5000 0.5000 Ge
0.0000 0.0000 0.0000 Ir
```

ΔE_f in eV/atom: 0.12
DFT total energy in eV/atom: -7.70
Theoretical density in g cm⁻³: 7.0
ΔE to the lowest computed polymorph in kJ/mol of atoms: 0.00



[2]
Here is a geometry-optimized CaTc2PbO8 structure from Alexandria. Energies are from PBE-GGA.

Geometry as POSCAR:
```
CaTc2PbO8
1.0
5.9866 0.0000 0.0000
-2.9933 5.1846 0.0000
0.0000 0.0000 7.1681
Ca Tc Pb O
1 2 1 8
direct
0.0000 0.0000 0.0000 Ca
0.3333 0.6667 0.2919 Tc
0.6667 0.3333 0.7081 Tc
0.0000 0.0000 0.5000 Pb
0.1667 0.3334 0.2217 O
0.1667 0.8333 0.2217 O
0.3334 0.1667 0.7783 O
0.3333 0.6667 0.5365 O
0.6667 0.3333 0.4635 O
0.6666 0.8333 0.2217 O
0.8333 0.1667 0.7783 O
0.8333 0.6666 0.7783 O
```

DFT total energy in eV/atom: -7.13
Theoretical density in g cm⁻³: 4.3
ΔE_f (raw) in eV per atom: -1.6239



[3]
Here is a geometry-optimized Nd3Sn4Pt3 structure from Alexandria. Energies are from PBE-GGA.

Geometry as POSCAR:
```
Nd3Sn4Pt3
1.0
-4.9953 4.9953 4.9953
4.9953 -4.9953 4.9953
4.9953 4.9953 -4.9953
Nd Sn Pt
6 8 6
direct
0.1250 0.8750 0.2500 Nd
0.2500 0.1250 0.8750 Nd
0.3750 0.6250 0.7500 Nd
0.6250 0.7500 0.3750 Nd
0.7500 0.3750 0.6250 Nd
0.8750 0.2500 0.1250 Nd
0.0000 0.1607 0.5000 Sn
0.0000 0.6607 0.5000 Sn
0.1607 0.5000 0.0000 Sn
0.3393 0.3393 0.3393 Sn
0.5000 0.0000 0.1607 Sn
0.5000 0.0000 0.6607 Sn
0.6607 0.5000 0.0000 Sn
0.8393 0.8393 0.8393 Sn
0.1250 0.7500 0.8750 Pt
0.2500 0.6250 0.3750 Pt
0.3750 0.2500 0.6250 Pt
0.6250 0.3750 0.2500 Pt
0.7500 0.8750 0.1250 Pt
0.8750 0.1250 0.7500 Pt
```

ΔE_f in eV/atom: -0.89
DFT total energy in eV/atom: -5.74
Theoretical density in g cm⁻³: 9.9



[4]
Here is a geometry-optimized Ac8AsPt3Br4 structure from Alexandria. Energies are from PBE-GGA.

Geometry as POSCAR:
```
Ac8AsPt3Br4
1.0
4.5039 2.6003 8.0655
-4.5039 2.6003 8.0655
0.0000 -5.2007 8.0655
Ac As Pt Br
8 1 3 4
direct
0.2228 0.7398 0.7398 Ac
0.2320 0.2320 0.2320 Ac
0.2602 0.2602 0.7772 Ac
0.2602 0.7772 0.2602 Ac
0.7398 0.2228 0.7398 Ac
0.7398 0.7398 0.2228 Ac
0.7680 0.7680 0.7680 Ac
0.7772 0.2602 0.2602 Ac
0.5000 0.5000 0.5000 As
0.0000 0.0000 0.5000 Pt
0.0000 0.5000 0.0000 Pt
0.5000 0.0000 0.0000 Pt
0.0000 0.0000 0.0000 Br
0.0000 0.5000 0.5000 Br
0.5000 0.0000 0.5000 Br
0.5000 0.5000 0.0000 Br
```

DFT total energy in eV/atom: -5.21
Theoretical density in g cm⁻³: 8.2
ΔE_f (raw) in eV per atom: -1.3172



[5]
Here is a geometry-optimized Yb2NiSb2 structure from Alexandria. Energies are from PBE-GGA.

Geometry as POSCAR:
```
Yb2NiSb2
1.0
2.2566 1.3029 7.3246
-2.2566 1.3029 7.3246
0.0000 -2.6057 7.3246
Yb Ni Sb
2 1 2
direct
0.0000 0.0000 0.0000 Yb
0.4853 0.4853 0.4853 Yb
0.6148 0.6148 0.6148 Ni
0.2457 0.2457 0.2457 Sb
0.7392 0.7392 0.7392 Sb
```

DFT total energy in eV/atom: -4.16
Theoretical density in g cm⁻³: 8.3
ΔE_f (raw) in eV per atom: -0.7482



[6]
Here is a geometry-optimized Ce2MgCd4 structure from Alexandria. Energies are from PBE-GGA.

Geometry as POSCAR:
```
Ce2MgCd4
1.0
2.5885 1.4945 8.4194
-2.5885 1.4945 8.4194
0.0000 -2.9889 8.4194
Ce Mg Cd
2 1 4
direct
0.2468 0.2468 0.2468 Ce
0.7532 0.7532 0.7532 Ce
0.5000 0.5000 0.5000 Mg
0.1215 0.1215 0.1215 Cd
0.3728 0.3728 0.3728 Cd
0.6272 0.6272 0.6272 Cd
0.8785 0.8785 0.8785 Cd
```

ΔE_f in eV/atom: -0.03
DFT total energy in eV/atom: -2.47
Theoretical density in g cm⁻³: 6.4
ΔE to the lowest computed polymorph in kJ/mol of atoms: 0.00



[7]
Here is a geometry-optimized InFe4 structure from Alexandria. Energies are from PBE-GGA.

Geometry as POSCAR:
```
InFe4
1.0
-2.8552 2.8552 2.8552
2.8552 -2.8552 2.8552
2.8552 2.8552 -2.8552
In Fe
1 4
direct
0.0000 0.0000 0.0000 In
0.0000 0.0000 0.5000 Fe
0.0000 0.5000 0.0000 Fe
0.5000 0.0000 0.0000 Fe
0.5000 0.5000 0.5000 Fe
```

ΔE_f in eV/atom: 1.30
DFT total energy in eV/atom: -6.02
Theoretical density in g cm⁻³: 6.0



[8]
Here is a geometry-optimized Li3LaHg structure from Alexandria. Energies are from PBE-GGA.

Geometry as POSCAR:
```
Li3LaHg
1.0
5.9579 0.0000 0.0000
0.0000 5.9579 0.0000
0.0000 0.0000 5.9579
Li La Hg
3 1 1
direct
0.0000 0.0000 0.5000 Li
0.0000 0.5000 0.0000 Li
0.5000 0.0000 0.0000 Li
0.0000 0.0000 0.0000 La
0.5000 0.5000 0.5000 Hg
```

ΔE_f in eV/atom: 0.99
DFT total energy in eV/atom: -1.20
Theoretical density in g cm⁻³: 2.8
ΔE to the lowest computed polymorph in kJ/mol of atoms: 94.51